1.
Entry from Alexandria via LeMat-Bulk: SrNi2Sb after structural relaxation (PBE).

Values from the calculation:
Formation energy (no corrections)   -0.41 eV/atom
Space-group type   C2/m (12)
Electronic total energy   -19.00 eV/cell

Cell: 4.358 4.358 5.825 Å, 111.87 111.87 60.01°
Fractional positions:
Sr (0.000, 0.000, 0.000)
Ni (0.190, 0.190, 0.571)
Ni (0.810, 0.810, 0.429)
Sb (0.500, 0.500, 0.500)

=====

2.
Entry from Alexandria via LeMat-Bulk: InCuHg2 after structural relaxation (PBE).

Values from the calculation:
Space-group type   C2/m (12)
Electronic total energy   -6.78 eV/cell
Calculated formation energy   0.7 eV per formula unit

Cell: 4.982 4.982 5.397 Å, 106.24 106.24 43.94°
Fractional positions:
In (0.000, 0.000, 0.000)
Cu (0.500, 0.500, 0.500)
Hg (0.231, 0.231, 0.714)
Hg (0.769, 0.769, 0.286)

=====

3.
Entry from Alexandria via LeMat-Bulk: Cr2NiOs after structural relaxation (PBE).

Values from the calculation:
Space-group type   Cmm2 (35)
Electronic total energy   -35.36 eV/cell
Calculated formation energy   0.9 eV per formula unit

Cell: 2.561 2.561 8.094 Å, 90.00 90.00 110.91°
Fractional positions:
Cr (0.000, 0.000, 0.000)
Cr (0.500, 0.500, 0.233)
Ni (0.500, 0.500, 0.761)
Os (0.000, 0.000, 0.494)